## SmRePO (PBE-GGA)

Data for a relaxed structure of SmRePO.

VASP energy, eV per atom: -7.894
Size of the total moment, μB/cell: 0.0

Unit cell a=4.2089 b=6.0989 c=5.7676 alpha=90.00 beta=90.00 gamma=90.00
Closest atoms and distances in Å follow each position.
Fractional coordinates of all 8 atoms:
Sm 0.0000 0.1812 0.0000  2 O 2.23
Sm 0.0000 0.8188 0.5000  2 O 2.23
Re 0.5000 0.4068 0.6395  2 O 2.02-2.03
Re 0.5000 0.5932 0.1396  2 O 2.02-2.03
P 0.0000 0.2916 0.4960  2 Re 2.37
P 0.0000 0.7084 0.9960  2 Re 2.37
O 0.5000 0.3018 0.9742  2 Re 2.02-2.03, 2 Sm 2.23
O 0.5000 0.6982 0.4742  2 Re 2.02-2.03, 2 Sm 2.23